# 1
DFT (GGA-PBE) results for crystalline TlSnHg6 at its relaxed geometry.

Cell and atoms, written as POSCAR:
```
TlSnHg6
1.0
4.753 0.000 0.000
0.000 4.753 0.000
0.000 0.000 9.553
Tl Sn Hg
1 1 6
Cartesian
0.000 0.000 0.000
0.000 0.000 4.776
0.000 2.376 2.435
0.000 2.376 7.117
2.376 0.000 2.435
2.376 0.000 7.117
2.376 2.376 0.000
2.376 2.376 4.776
```

Computed properties:
DFT formation energy: 0.026 eV per atom

---

# 2
DFT (GGA-PBE) results for crystalline ZnPt2Rh at its relaxed geometry.

Cell and atoms, written as POSCAR:
```
ZnPt2Rh
1.0
2.780 0.000 0.000
0.000 2.780 0.000
0.000 0.000 7.665
Zn Pt Rh
1 2 1
Cartesian
0.000 0.000 0.000
0.000 0.000 3.918
1.390 1.390 1.852
1.390 1.390 5.851
```

Computed properties:
DFT formation energy: -0.224 eV per atom

---

# 3
DFT (GGA-PBE) results for crystalline Sm8Dy3Sc2 at its relaxed geometry.

Cell and atoms, written as POSCAR:
```
Sm8Dy3Sc2
1.0
9.823 -3.870 0.000
9.823 3.870 0.000
-0.002 0.000 5.657
Sm Dy Sc
8 3 2
Cartesian
7.644 2.274 5.656
3.494 0.000 2.832
12.001 2.274 0.001
7.199 0.000 2.830
12.445 0.000 2.827
7.644 -2.274 5.656
16.151 0.000 2.825
12.001 -2.274 0.001
9.822 2.227 2.828
9.823 0.000 0.000
9.822 -2.227 2.828
5.109 0.000 0.004
14.536 0.000 5.653
```

Computed properties:
DFT formation energy: 0.221 eV per atom

---

# 4
DFT (GGA-PBE) results for crystalline BaSnTe2 at its relaxed geometry.

Cell and atoms, written as POSCAR:
```
BaSnTe2
1.0
6.963 0.000 0.000
0.000 5.119 0.000
0.000 0.000 19.844
Ba Sn Te
4 4 8
Cartesian
1.678 1.280 1.336
1.803 3.840 11.258
5.160 1.280 8.586
5.285 3.840 18.509
1.677 1.280 16.617
1.805 3.840 6.695
5.159 1.280 13.149
5.286 3.840 3.227
1.238 3.840 3.606
1.707 1.280 8.702
1.775 3.840 18.624
2.244 1.280 13.528
4.720 3.840 6.316
5.188 1.280 1.220
5.257 3.840 11.142
5.725 1.280 16.238
```

Computed properties:
Formation energy without anion corrections: -0.9313 eV/atom

---

# 5
DFT (GGA-PBE) results for crystalline MnTlRe2B at its relaxed geometry.

Cell and atoms, written as POSCAR:
```
MnTlRe2B
1.0
5.068 0.000 0.000
0.000 5.068 0.000
0.000 0.000 3.909
Mn Tl Re B
1 1 2 1
Cartesian
0.000 0.000 0.000
2.534 2.534 1.955
0.000 2.534 1.955
2.534 0.000 1.955
2.534 2.534 0.000
```

Computed properties:
DFT formation energy: 3.412 eV per atom

---

# 6
DFT (GGA-PBE) results for crystalline CdGeSe2Br at its relaxed geometry.

Cell and atoms, written as POSCAR:
```
CdGeSe2Br
1.0
5.216 0.000 0.000
0.000 5.216 0.000
0.000 0.000 5.355
Cd Ge Se Br
1 1 2 1
Cartesian
0.000 0.000 0.000
2.608 2.608 2.677
0.000 2.608 0.000
2.608 0.000 0.000
0.000 0.000 2.677
```

Computed properties:
Formation energy without anion corrections: 0.3387 eV/atom

---

# 7
DFT (GGA-PBE) results for crystalline UTl2BiO8 at its relaxed geometry.

Cell and atoms, written as POSCAR:
```
UTl2BiO8
1.0
3.583 -3.707 0.000
3.583 3.707 0.000
0.000 0.000 6.970
U Tl Bi O
1 2 1 8
Cartesian
0.000 0.000 0.000
3.583 0.000 1.730
3.583 0.000 5.240
0.000 0.000 3.485
3.583 2.349 1.604
3.583 2.349 5.366
2.110 0.000 0.000
2.186 0.000 3.485
4.980 0.000 3.485
5.056 0.000 0.000
3.583 -2.349 1.604
3.583 -2.349 5.366
```

Computed properties:
Formation energy without anion corrections: -1.5101 eV/atom

---

# 8
DFT (GGA-PBE) results for crystalline NaLiY at its relaxed geometry.

Cell and atoms, written as POSCAR:
```
NaLiY
1.0
3.451 0.000 0.000
-1.725 2.988 0.000
0.000 0.000 8.691
Na Li Y
1 1 1
Cartesian
0.000 0.000 0.000
0.000 1.992 5.821
1.725 0.996 3.152
```

Computed properties:
DFT formation energy: 0.164 eV per atom

---

- What is the formula in the first record?
  TlSnHg6